Compound: Al6Cu5Ag
Source: Alexandria via LeMat-Bulk
Functional: PBE
Structure: relaxed

Cell lengths 4.217, 6.388, 7.002 Å; angles 90.00, 116.00, 90.00 degrees
Atoms (fractional coordinates):
Al 0.834 0.744 0.659
Al 0.166 0.256 0.341
Al 0.500 0.735 0.000
Al 0.500 0.265 0.000
Al 0.834 0.256 0.659
Al 0.166 0.744 0.341
Ag 0.000 0.000 0.000
Cu 0.661 0.500 0.333
Cu 0.339 0.500 0.667
Cu 0.674 0.000 0.336
Cu 0.326 0.000 0.664
Cu 0.000 0.500 0.000

Computed properties:
SG: No. 10

---

Compound: AlCu4Ag
Source: Alexandria via LeMat-Bulk
Functional: PBE
Structure: relaxed

Cell lengths 4.888, 4.888, 4.888 Å; angles 60.00, 60.00, 60.00 degrees
Atoms (fractional coordinates):
Cu 0.375 0.876 0.375
Cu 0.375 0.375 0.375
Cu 0.876 0.375 0.375
Cu 0.375 0.375 0.876
Ag 0.750 0.750 0.750
Al 0.000 0.000 0.000

Computed properties:
SG: No. 216

---

Compound: AlCuAg2
Source: Alexandria via LeMat-Bulk
Functional: PBE
Structure: relaxed

Cell lengths 4.620, 4.620, 4.620 Å; angles 125.81, 125.81, 80.19 degrees
Atoms (fractional coordinates):
Al 0.250 0.750 0.500
Ag 0.500 0.500 0.000
Ag 0.000 0.000 0.000
Cu 0.750 0.250 0.500

Computed properties:
SG: No. 139

---

Compound: AlCu2Ag
Source: Alexandria via LeMat-Bulk
Functional: PBE
Structure: relaxed

Cell lengths 8.575, 8.575, 8.575 Å; angles 18.92, 18.92, 18.92 degrees
Atoms (fractional coordinates):
Cu 0.495 0.495 0.495
Cu 0.005 0.005 0.005
Al 0.750 0.750 0.750
Ag 0.250 0.250 0.250

Computed properties:
SG: No. 166

---

| no. | formation energy (eV/f.u.) |
| --- | --- |
| 1 | -1.30 |
| 2 | 0.04 |
| 3 | -0.11 |
| 4 | 0.06 |